Arrangement 1

{
  "formula": "Pm5Dy3Er",
  "functional": "PBE-GGA",
  "state": "optimized geometry",
  "cell": [[9.253, 0.000, 0.000], [0.000, 9.253, 0.000], [-4.627, -4.627, 7.147]],
  "species": ["Pm", "Pm", "Pm", "Pm", "Pm", "Pm", "Pm", "Pm", "Pm", "Pm", "Dy", "Dy", "Dy", "Dy", "Dy", "Dy", "Er", "Er"],
  "fractional_positions": [[0.071, 0.571, 0.735], [0.664, 0.164, 0.735], [0.164, 0.071, 0.735], [0.571, 0.664, 0.735], [0.929, 0.429, 0.265], [0.336, 0.836, 0.265], [0.836, 0.929, 0.265], [0.429, 0.336, 0.265], [0.500, 0.500, 0.000], [0.000, 0.000, 0.000], [0.610, 0.110, 0.000], [0.390, 0.890, 0.000], [0.890, 0.610, 0.000], [0.110, 0.390, 0.000], [0.250, 0.250, 0.500], [0.750, 0.750, 0.500], [0.750, 0.250, 0.500], [0.250, 0.750, 0.500]]
}

***

Arrangement 2

{
  "formula": "Pm5Dy3Er",
  "functional": "PBE-GGA",
  "state": "optimized geometry",
  "cell": [[3.372, 11.480, 1.967], [-3.372, 11.480, 1.967], [0.000, 7.271, 9.028]],
  "species": ["Pm", "Pm", "Pm", "Pm", "Pm", "Pm", "Pm", "Pm", "Pm", "Pm", "Dy", "Dy", "Dy", "Dy", "Dy", "Dy", "Er", "Er"],
  "fractional_positions": [[0.312, 0.688, 0.750], [0.083, 0.261, 0.002], [0.391, 0.389, 0.169], [0.917, 0.739, 0.998], [0.611, 0.609, 0.331], [0.688, 0.312, 0.250], [0.261, 0.083, 0.502], [0.739, 0.917, 0.498], [0.389, 0.391, 0.669], [0.609, 0.611, 0.831], [0.000, 0.000, 0.000], [0.836, 0.641, 0.395], [0.000, 0.000, 0.500], [0.164, 0.359, 0.605], [0.641, 0.836, 0.895], [0.359, 0.164, 0.105], [0.762, 0.238, 0.750], [0.238, 0.762, 0.250]]
}

***

Relative energy table, unit meV per atom: arrangement 1 140; arrangement 2 0

***

Arrangement 1

{
  "formula": "Pm2Dy2Er5",
  "functional": "PBE-GGA",
  "state": "optimized geometry",
  "cell": [[-2.415, 2.646, 0.124], [-1.803, -3.656, -8.516], [-4.550, -2.212, 10.149]],
  "species": ["Pm", "Pm", "Dy", "Dy", "Er", "Er", "Er", "Er", "Er"],
  "fractional_positions": [[0.592, 0.851, 0.666], [0.408, 0.149, 0.334], [0.334, 0.666, 0.000], [0.666, 0.334, 0.000], [0.741, 0.814, 0.333], [0.259, 0.186, 0.667], [0.924, 0.518, 0.668], [0.076, 0.482, 0.332], [0.000, 0.000, 0.000]]
}

***

Arrangement 2

{
  "formula": "Pm2Dy2Er5",
  "functional": "PBE-GGA",
  "state": "optimized geometry",
  "cell": [[-7.390, -2.785, 8.636], [-4.130, -2.849, -4.452], [9.266, -3.680, -1.187]],
  "species": ["Pm", "Pm", "Pm", "Pm", "Dy", "Dy", "Dy", "Dy", "Er", "Er", "Er", "Er", "Er", "Er", "Er", "Er", "Er", "Er"],
  "fractional_positions": [[0.123, 0.685, 0.254], [0.877, 0.431, 0.746], [0.632, 0.185, 0.254], [0.368, 0.931, 0.746], [0.000, 0.010, 0.000], [0.500, 0.510, 0.000], [0.263, 0.360, 0.500], [0.737, 0.860, 0.500], [0.203, 0.655, 0.894], [0.797, 0.761, 0.106], [0.191, 0.155, 0.894], [0.809, 0.261, 0.106], [0.379, 0.031, 0.286], [0.621, 0.745, 0.714], [0.406, 0.531, 0.286], [0.594, 0.245, 0.714], [0.001, 0.658, 0.500], [0.999, 0.158, 0.500]]
}

***

Relative energy table, unit meV per atom: arrangement 1 0; arrangement 2 212

***

Arrangement 1

{
  "formula": "PmDy6Er4",
  "functional": "PBE-GGA",
  "state": "optimized geometry",
  "cell": [[-6.652, 3.387, 0.854], [-0.033, -1.898, 7.270], [6.418, 4.919, -2.570]],
  "species": ["Pm", "Dy", "Dy", "Dy", "Dy", "Dy", "Dy", "Er", "Er", "Er", "Er"],
  "fractional_positions": [[0.500, 0.500, 0.000], [0.924, 0.449, 0.373], [0.449, 0.924, 0.373], [0.551, 0.551, 0.627], [0.000, 0.500, 0.000], [0.076, 0.076, 0.627], [0.500, 0.000, 0.000], [0.083, 0.759, 0.841], [0.917, 0.917, 0.159], [0.759, 0.083, 0.841], [0.241, 0.241, 0.159]]
}

***

Arrangement 2

{
  "formula": "PmDy6Er4",
  "functional": "PBE-GGA",
  "state": "optimized geometry",
  "cell": [[5.682, 0.000, 0.000], [-2.841, 4.797, 0.000], [0.000, 0.000, 25.571]],
  "species": ["Pm", "Pm", "Dy", "Dy", "Dy", "Dy", "Dy", "Dy", "Dy", "Dy", "Dy", "Dy", "Dy", "Dy", "Er", "Er", "Er", "Er", "Er", "Er", "Er", "Er"],
  "fractional_positions": [[0.810, 0.619, 0.250], [0.190, 0.381, 0.750], [0.500, 0.000, 0.000], [0.500, 0.000, 0.500], [0.140, 0.280, 0.319], [0.860, 0.720, 0.681], [0.860, 0.720, 0.819], [0.140, 0.280, 0.181], [0.808, 0.616, 0.398], [0.192, 0.384, 0.602], [0.192, 0.384, 0.898], [0.808, 0.616, 0.102], [0.475, 0.950, 0.250], [0.525, 0.050, 0.750], [0.844, 0.687, 0.542], [0.469, 0.938, 0.121], [0.156, 0.313, 0.458], [0.531, 0.062, 0.879], [0.844, 0.687, 0.958], [0.156, 0.313, 0.042], [0.531, 0.062, 0.621], [0.469, 0.938, 0.379]]
}

***

Relative energy table, unit meV per atom: arrangement 1 307; arrangement 2 0